## InPHCl2 (PBE-GGA)

Data for an optimized crystal structure of InPHCl2.

Unit cell a=5.2633 b=5.2633 c=5.2604 alpha=90.00 beta=90.00 gamma=90.00
Last column: nearest neighbours and their distance in Å.
Space group P4/mmm (No. 123)
Unique sites:
In  0.0000  0.0000  0.0000 x1  2 P 2.63, 4 Cl 2.63
P  0.0000  0.0000  0.5000 x1  2 In 2.63
H  0.5000  0.5000  0.5000 x1  8 Cl 3.72, 4 P 3.72
Cl  0.0000  0.5000  0.0000 x2  2 In 2.63

VASP energy ... -13.14 eV per cell
Excess energy over the best structure of this formula in the dataset ... 22.40 kJ per mole of atoms